Record 1
## FeNi2Os (PBE-GGA)

Data for a relaxed structure of FeNi2Os.

Total magnetization (μB/atom): 0.000
Mass density (g/cm³): 11.97
Calculated volume (Å³/atom): 12.60
Polymorph energy (0 for the lowest one) (meV/atom): 725
Energy of formation from the pure elements (meV per atom): 791

a = 6.4525 Å, b = 6.4525 Å, c = 4.8428 Å
α = 90.00°, β = 90.00°, γ = 90.00°
Space group I-42d (No. 122)
Inequivalent atoms, fractional coordinates:
Fe  0.0000  0.0000  0.0000 [4 per cell]
Ni  0.2336  0.7500  0.1250 [8 per cell]
Os  0.0000  0.0000  0.5000 [4 per cell]



Record 2
## Li2TaMnSb (PBE-GGA)

Data for a relaxed structure of Li2TaMnSb.

Total magnetization (μB/atom): 0.693
Mass density (g/cm³): 5.28
Calculated volume (Å³/atom): 23.37
Uncorrected formation energy (eV per formula unit): 4.00

a = 4.6946 Å, b = 4.6946 Å, c = 5.3027 Å
α = 90.00°, β = 90.00°, γ = 90.00°
Space group P4/mmm (No. 123)
Inequivalent atoms, fractional coordinates:
Li  0.0000  0.5000  0.0000 [2 per cell]
Ta  0.0000  0.0000  0.5000 [1 per cell]
Mn  0.5000  0.5000  0.5000 [1 per cell]
Sb  0.0000  0.0000  0.0000 [1 per cell]



Record 3
## K2TlCr (PBE-GGA)

Data for a relaxed structure of K2TlCr.

Total magnetization (μB/atom): 1.236
Mass density (g/cm³): 3.82
Calculated volume (Å³/atom): 36.31
Polymorph energy (0 for the lowest one) (meV/atom): 264
Energy of formation from the pure elements (meV per atom): 688

a = 3.7329 Å, b = 3.7329 Å, c = 36.1122 Å
α = 90.00°, β = 90.00°, γ = 120.00°
Space group R-3m (No. 166, hexagonal axes)
Inequivalent atoms, fractional coordinates:
K  0.0000  0.0000  0.2479 [6 per cell]
Tl  0.0000  0.0000  0.0000 [3 per cell]
Cr  0.0000  0.0000  0.5000 [3 per cell]